{"formula": "Pm2Tl3AgSe6", "functional": "PBE", "state": "relaxed", "raw_formation_energy_ev_per_atom": -0.902, "mass_density_g_cm3": 7.2, "total_magnetization_mub_per_atom": 0.00, "lattice": [[7.305, 0.044, -0.015], [-3.613, 6.349, -0.015], [-1.247, -2.159, 7.399]], "species": ["Se", "Se", "Se", "Se", "Se", "Se", "Ag", "Pm", "Pm", "Tl", "Tl", "Tl"], "fractional_positions": [[0.393, 0.072, 0.212], [0.266, 0.266, 0.762], [0.928, 0.607, 0.788], [0.607, 0.928, 0.788], [0.734, 0.734, 0.238], [0.072, 0.393, 0.212], [0.000, 0.000, 0.000], [0.665, 0.335, 0.000], [0.335, 0.665, 0.000], [0.500, 0.500, 0.500], [0.821, 0.179, 0.500], [0.179, 0.821, 0.500]]}